{"formula": "BeNbAsSe2", "functional": "PBEsol", "state": "optimized geometry", "volume_a3_per_atom": 24.58, "e_form_raw_ev_per_atom": 0.557, "sg": "P4/mmm, No. 123", "lattice_angstrom": [[-3.774, -0.543, 3.097], [2.564, -3.333, 2.540], [1.887, 3.698, 2.948]], "species": ["As", "Nb", "Se", "Se", "Be"], "frac_coords": [[0.000, 0.000, 0.500], [0.000, 0.000, 0.000], [0.000, 0.500, 0.000], [0.500, 0.000, 0.000], [0.500, 0.500, 0.500]]}

{"formula": "Be3NiAs", "functional": "PBEsol", "state": "optimized geometry", "ef_ev_per_fu": 2.5, "volume_a3_per_atom": 12.56, "sg": "Pm-3m, No. 221", "lattice_angstrom": [[3.975, 0.000, 0.000], [0.000, 3.975, 0.000], [0.000, 0.000, 3.975]], "species": ["Be", "Be", "Be", "As", "Ni"], "frac_coords": [[0.500, 0.000, 0.000], [0.000, 0.000, 0.500], [0.000, 0.500, 0.000], [0.500, 0.500, 0.500], [0.000, 0.000, 0.000]]}

{"formula": "BeNiAsSe2", "functional": "PBEsol", "state": "optimized geometry", "volume_a3_per_atom": 17.12, "e_form_raw_ev_per_atom": 0.672, "sg": "P4/mmm, No. 123", "lattice_angstrom": [[-3.194, -1.209, -2.478], [0.654, -4.280, 1.244], [-2.870, 0.558, 3.427]], "species": ["Se", "Se", "Be", "Ni", "As"], "frac_coords": [[0.000, 0.500, 0.000], [0.000, 0.000, 0.500], [0.000, 0.000, 0.000], [0.500, 0.500, 0.500], [0.500, 0.000, 0.000]]}

{"formula": "Be3AsO", "functional": "PBEsol", "state": "optimized geometry", "volume_a3_per_atom": 9.78, "e_form_raw_ev_per_atom": -0.364, "sg": "Pm-3m, No. 221", "lattice_angstrom": [[3.657, 0.000, 0.000], [0.000, 3.657, 0.000], [0.000, 0.000, 3.657]], "species": ["As", "Be", "Be", "Be", "O"], "frac_coords": [[0.500, 0.500, 0.500], [0.000, 0.500, 0.000], [0.500, 0.000, 0.000], [0.000, 0.000, 0.500], [0.000, 0.000, 0.000]]}

{"formula": "BeAs2SeO", "functional": "PBEsol", "state": "optimized geometry", "volume_a3_per_atom": 16.39, "e_form_raw_ev_per_atom": 0.767, "sg": "P4/mmm, No. 123", "lattice_angstrom": [[4.283, 0.000, 0.000], [0.000, 4.375, 0.000], [0.000, 0.000, 4.375]], "species": ["As", "As", "Se", "O", "Be"], "frac_coords": [[0.000, 0.500, 0.000], [0.000, 0.000, 0.500], [0.500, 0.000, 0.000], [0.500, 0.500, 0.500], [0.000, 0.000, 0.000]]}

{"formula": "BeAsOs", "functional": "PBEsol", "state": "optimized geometry", "polymorph_energy_ev_per_fu": 0.000, "ef_ev_per_fu": 0.1, "volume_a3_per_atom": 12.44, "sg": "Imm2, No. 44", "lattice_angstrom": [[-2.009, 0.169, -2.184], [0.599, -3.211, -0.799], [-1.964, 0.434, 3.862]], "species": ["Be", "As", "Os"], "frac_coords": [[0.672, 0.672, 0.344], [0.996, 0.996, 0.993], [0.332, 0.332, 0.664]]}

{"formula": "BeAs2Os", "functional": "PBEsol", "state": "optimized geometry", "ef_ev_per_fu": 2.3, "volume_a3_per_atom": 14.53, "sg": "Cmmm, No. 65", "lattice_angstrom": [[2.942, 0.011, 0.000], [-1.423, 2.575, 0.000], [0.000, 0.000, 7.655]], "species": ["Be", "As", "As", "Os"], "frac_coords": [[0.500, 0.500, 0.500], [0.000, 0.000, 0.736], [0.000, 0.000, 0.264], [0.500, 0.500, 0.000]]}

{"formula": "BeAs2Os", "functional": "PBEsol", "state": "optimized geometry", "ef_ev_per_fu": 0.1, "volume_a3_per_atom": 15.44, "sg": "P4mm, No. 99", "lattice_angstrom": [[2.949, 0.000, 0.000], [0.000, 2.949, 0.000], [0.000, 0.000, 7.098]], "species": ["As", "As", "Be", "Os"], "frac_coords": [[0.500, 0.500, 0.334], [0.000, 0.000, 0.920], [0.000, 0.000, 0.543], [0.500, 0.500, 0.702]]}

{"formula": "BeAsOs", "functional": "PBEsol", "state": "optimized geometry", "polymorph_energy_ev_per_fu": 0.786, "ef_ev_per_fu": 0.9, "volume_a3_per_atom": 14.78, "sg": "F-43m, No. 216", "lattice_angstrom": [[-1.302, -3.206, -1.952], [2.126, -3.356, 0.050], [-1.318, -3.157, 2.020]], "species": ["Os", "Be", "As"], "frac_coords": [[0.250, 0.250, 0.250], [0.500, 0.500, 0.500], [0.000, 0.000, 0.000]]}

{"formula": "BeAs2Os", "functional": "PBEsol", "state": "optimized geometry", "ef_ev_per_fu": 1.5, "volume_a3_per_atom": 18.91, "sg": "I-42d, No. 122", "lattice_angstrom": [[5.264, 0.000, 0.000], [0.000, 5.264, 0.000], [-2.632, -2.632, 5.459]], "species": ["Os", "Os", "Be", "Be", "As", "As", "As", "As"], "frac_coords": [[0.000, 0.000, 0.000], [0.250, 0.750, 0.500], [0.500, 0.500, 0.000], [0.750, 0.250, 0.500], [0.625, 0.608, 0.750], [0.858, 0.375, 0.250], [0.392, 0.875, 0.250], [0.125, 0.142, 0.750]]}

{"formula": "BeAs2Os", "functional": "PBEsol", "state": "optimized geometry", "ef_ev_per_fu": 2.1, "volume_a3_per_atom": 14.19, "sg": "P4/mmm, No. 123", "lattice_angstrom": [[-0.708, -2.486, 1.679], [3.926, -1.588, -0.695], [1.426, 1.979, 3.531]], "species": ["Be", "As", "As", "Os"], "frac_coords": [[0.500, 0.500, 0.500], [0.000, 0.000, 0.500], [0.000, 0.500, 0.000], [0.500, 0.000, 0.000]]}

{"formula": "Be2AsOs", "functional": "PBEsol", "state": "optimized geometry", "ef_ev_per_fu": 0.7, "volume_a3_per_atom": 11.57, "sg": "I4/mmm, No. 139", "lattice_angstrom": [[-1.373, 3.283, -0.066], [-2.869, -1.165, 1.755], [3.760, -0.310, 2.333]], "species": ["Be", "Be", "As", "Os"], "frac_coords": [[0.250, 0.750, 0.500], [0.750, 0.250, 0.500], [0.000, 0.000, 0.000], [0.500, 0.500, 0.000]]}

{"formula": "Be2AsOsRu", "functional": "PBEsol", "state": "optimized geometry", "ef_ev_per_fu": 5.2, "volume_a3_per_atom": 15.49, "sg": "P4/mmm, No. 123", "lattice_angstrom": [[4.123, 0.000, 0.000], [0.000, 4.123, 0.000], [0.000, 0.000, 4.556]], "species": ["Be", "Be", "As", "Os", "Ru"], "frac_coords": [[0.500, 0.000, 0.000], [0.000, 0.500, 0.000], [0.000, 0.000, 0.500], [0.000, 0.000, 0.000], [0.500, 0.500, 0.500]]}

{"formula": "BeAs2P", "functional": "PBEsol", "state": "optimized geometry", "polymorph_energy_ev_per_fu": 0.961, "ef_ev_per_fu": 2.0, "volume_a3_per_atom": 15.77, "sg": "Immm, No. 71", "lattice_angstrom": [[3.471, 0.000, 0.000], [1.735, 4.343, 0.068], [1.735, 1.100, 4.202]], "species": ["Be", "As", "As", "P"], "frac_coords": [[0.500, 0.000, 0.000], [0.772, 0.228, 0.228], [0.228, 0.772, 0.772], [0.000, 0.500, 0.500]]}

{"formula": "BeAsP4", "functional": "PBEsol", "state": "optimized geometry", "ef_ev_per_fu": 4.7, "volume_a3_per_atom": 14.60, "sg": "F-43m, No. 216", "lattice_angstrom": [[4.985, 0.000, 0.000], [2.492, 4.317, 0.000], [2.492, 1.439, 4.070]], "species": ["Be", "P", "P", "P", "P", "As"], "frac_coords": [[0.000, 0.000, 0.000], [0.626, 0.626, 0.626], [0.626, 0.121, 0.626], [0.626, 0.626, 0.121], [0.121, 0.626, 0.626], [0.250, 0.250, 0.250]]}